Record 1
Compound: LaPrSmHg
Source: Alexandria
Functional: PBE
Structure: optimized geometry

ΔE_f in eV per atom: -0.23
Total energy in eV/atom: -3.92
Symmetry: P4mm, No. 99
Polymorph energy (0 for the lowest one) in meV per atom: 0
Total moment in μB per cell: 0.00

Cell and atoms, written as extended XYZ:
```
4
Lattice="3.789 0.000 0.000 0.000 3.789 0.000 0.000 0.000 8.847" Properties=species:S:1:pos:R:3 pbc="T T T"
La 0.000 0.000 0.672
Sm 1.894 1.894 3.138
Pr 1.894 1.894 6.997
Hg 0.000 0.000 4.981
```



Record 2
Compound: Sr2YMo
Source: Alexandria
Functional: PBE
Structure: optimized geometry

ΔE_f in eV per atom: 0.85
Total energy in eV/atom: -4.31
Symmetry: Pmmm, No. 47
Polymorph energy (0 for the lowest one) in meV per atom: 336
Total moment in μB per cell: 1.92

Cell and atoms, written as extended XYZ:
```
4
Lattice="4.803 0.000 0.000 0.000 4.818 0.000 0.000 0.000 5.483" Properties=species:S:1:pos:R:3 pbc="T T T"
Sr 2.401 2.409 0.000
Sr 0.000 0.000 0.000
Y 2.401 0.000 2.741
Mo 0.000 2.409 2.741
```